# 1
First-principles (PBE) data for a relaxed structure of SmTm3Zr, as listed in the Alexandria database.

Output
- V: 147 Å³/f.u.
- Crystal system: monoclinic
- Energy relative to the elements: 0.0420 eV per atom
- Magnetic moment: 0.001 μB per cell

Lattice parameters (Å, degrees): 12.6239 3.4875 13.3776 90.00 94.42 90.00
Space group C2/m (No. 12)
Inequivalent atoms, fractional coordinates:
Sm 0.1638 0.0000 0.4126
Tm 0.0315 0.0000 0.1672
Tm 0.0698 0.5000 0.6222
Tm 0.2324 0.0000 0.7976
Zr 0.1402 0.5000 0.9850


# 2
First-principles (PBE) data for a relaxed structure of SmTm2Zr, as listed in the Alexandria database.

Output
- V: 116 Å³/f.u.
- Crystal system: cubic
- Energy relative to the elements: 0.2070 eV per atom
- Offset from the most stable computed form: 138 meV per atom
- Magnetic moment: 6.363 μB per cell

Lattice parameters (Å, degrees): 7.7315 7.7315 7.7315 90.00 90.00 90.00
Space group Fm-3m (No. 225)
Inequivalent atoms, fractional coordinates:
Sm 0.0000 0.0000 0.0000
Tm 0.2500 0.2500 0.2500
Zr 0.0000 0.0000 0.5000


# 3
First-principles (PBE) data for a relaxed structure of Sm12Tm7Zr, as listed in the Alexandria database.

Output
- V: 667 Å³/f.u.
- Crystal system: trigonal
- Energy relative to the elements: 0.2304 eV per atom
- Offset from the most stable computed form: 0 meV per atom
- Magnetic moment: 0.000 μB per cell

Lattice parameters (Å, degrees): 19.4620 19.4620 6.1001 90.00 90.00 120.00
Space group R-3 (No. 148, hexagonal axes)
Inequivalent atoms, fractional coordinates:
Sm 0.0004 0.4138 0.9999
Sm 0.0983 0.5496 0.4744
Tm 0.0000 0.0000 0.0000
Tm 0.0796 0.9194 0.3040
Zr 0.0000 0.0000 0.5000


# 4
First-principles (PBE) data for a relaxed structure of SmU6, as listed in the Alexandria database.

Output
- V: 181 Å³/f.u.
- Crystal system: cubic
- Energy relative to the elements: 0.7731 eV per atom
- Magnetic moment: 2.424 μB per cell

Lattice parameters (Å, degrees): 7.1284 7.1284 7.1284 90.00 90.00 90.00
Space group Im-3m (No. 229)
Inequivalent atoms, fractional coordinates:
Sm 0.0000 0.0000 0.0000
U 0.0000 0.2500 0.5000


# 5
First-principles (PBE) data for a relaxed structure of SmU4, as listed in the Alexandria database.

Output
- V: 151 Å³/f.u.
- Crystal system: cubic
- Energy relative to the elements: 1.8786 eV per atom
- Magnetic moment: 10.885 μB per cell

Lattice parameters (Å, degrees): 5.3265 5.3265 5.3265 90.00 90.00 90.00
Space group Pm-3m (No. 221)
Inequivalent atoms, fractional coordinates:
Sm 0.0000 0.0000 0.0000
U 0.0000 0.0000 0.5000
U 0.5000 0.5000 0.5000


# 6
First-principles (PBE) data for a relaxed structure of SmUZn17, as listed in the Alexandria database.

Output
- V: 308 Å³/f.u.
- Crystal system: trigonal
- Energy relative to the elements: -0.1487 eV per atom
- Magnetic moment: 8.646 μB per cell

Lattice parameters (Å, degrees): 8.9960 8.9960 13.1919 90.00 90.00 120.00
Space group R3m (No. 160, hexagonal axes)
Inequivalent atoms, fractional coordinates:
Sm 0.0000 0.0000 0.0000
U 0.0000 0.0000 0.3281
Zn 0.0000 0.0000 0.5624
Zn 0.0000 0.0000 0.7622
Zn 0.9999 0.4999 0.1634
Zn 0.0058 0.5029 0.8157
Zn 0.0379 0.3705 0.3302
Zn 0.1731 0.3463 0.8453


# 7
First-principles (PBE) data for a relaxed structure of Sm4V, as listed in the Alexandria database.

Output
- V: 162 Å³/f.u.
- Crystal system: cubic
- Energy relative to the elements: 0.4477 eV per atom
- Magnetic moment: 1.424 μB per cell

Lattice parameters (Å, degrees): 5.4504 5.4504 5.4504 90.00 90.00 90.00
Space group Pm-3m (No. 221)
Inequivalent atoms, fractional coordinates:
Sm 0.0000 0.0000 0.0000
Sm 0.0000 0.5000 0.5000
V 0.5000 0.5000 0.5000


# 8
First-principles (PBE) data for a relaxed structure of SmVW, as listed in the Alexandria database.

Output
- V: 66 Å³/f.u.
- Crystal system: monoclinic
- Energy relative to the elements: 0.5234 eV per atom
- Magnetic moment: 0.000 μB per cell

Lattice parameters (Å, degrees): 11.8210 4.0928 5.4389 90.00 91.75 90.00
Space group C2/m (No. 12)
Inequivalent atoms, fractional coordinates:
Sm 0.0650 0.0000 0.2569
V 0.1781 0.5000 0.5944
W 0.2333 0.0000 0.8408


# 9
First-principles (PBE) data for a relaxed structure of SmYV, as listed in the Alexandria database.

Output
- V: 80 Å³/f.u.
- Crystal system: monoclinic
- Energy relative to the elements: 0.4188 eV per atom
- Magnetic moment: 10.424 μB per cell

Lattice parameters (Å, degrees): 11.1038 5.3758 6.6631 90.00 126.68 90.00
Space group Cm (No. 8)
Inequivalent atoms, fractional coordinates:
Sm 0.0000 0.0000 0.0000
Sm 0.1361 0.5000 0.3897
Y 0.1390 0.5000 0.8911
Y 0.2775 0.0000 0.7807
V 0.3376 0.0000 0.3403
V 0.4370 0.5000 0.4411


# 10
First-principles (PBE) data for a relaxed structure of Sm2VZn, as listed in the Alexandria database.

Output
- V: 103 Å³/f.u.
- Crystal system: trigonal
- Energy relative to the elements: 0.5868 eV per atom
- Magnetic moment: 10.797 μB per cell

Lattice parameters (Å, degrees): 3.3234 3.3234 32.1698 90.00 90.00 120.00
Space group R-3m (No. 166, hexagonal axes)
Inequivalent atoms, fractional coordinates:
Sm 0.0000 0.0000 0.0908
V 0.0000 0.0000 0.0000
Zn 0.0000 0.0000 0.5000


# 11
First-principles (PBE) data for a relaxed structure of SmZrV, as listed in the Alexandria database.

Output
- V: 70 Å³/f.u.
- Crystal system: orthorhombic
- Energy relative to the elements: 0.3773 eV per atom
- Magnetic moment: 0.000 μB per cell

Lattice parameters (Å, degrees): 3.4279 4.7207 8.6049 90.00 90.00 90.00
Space group Pmmn (No. 59, origin choice 2)
Inequivalent atoms, fractional coordinates:
Sm 0.2500 0.2500 0.1363
Zr 0.2500 0.2500 0.7163
V 0.2500 0.7500 0.5290


# 12
First-principles (PBE) data for a relaxed structure of SmZrV4, as listed in the Alexandria database.

Output
- V: 105 Å³/f.u.
- Crystal system: cubic
- Energy relative to the elements: 0.2509 eV per atom
- Magnetic moment: 0.000 μB per cell

Lattice parameters (Å, degrees): 7.4827 7.4827 7.4827 90.00 90.00 90.00
Space group F-43m (No. 216)
Inequivalent atoms, fractional coordinates:
Sm 0.0000 0.0000 0.0000
Zr 0.2500 0.2500 0.2500
V 0.1239 0.1239 0.6239